# Ba6PtRh2

Crystalline Ba6PtRh2 at its relaxed geometry (PBE, Alexandria).

Results
Excess energy over the best structure of this formula in the dataset   0 meV/atom
ΔH_f (0 K)   -0.29 eV per atom

```
data_Ba6PtRh2
_chemical_formula_sum 'Ba6 Pt1 Rh2'
_cell_length_a 7.7417
_cell_length_b 7.7417
_cell_length_c 7.3368
_cell_angle_alpha 90.00
_cell_angle_beta 90.00
_cell_angle_gamma 120.00
_symmetry_space_group_name_H-M 'P -3 1 m'
_symmetry_Int_Tables_number 162
_symmetry_space_group_name_Hall '-P 3 2'
loop_
_atom_site_label
_atom_site_fract_x
_atom_site_fract_y
_atom_site_fract_z
Ba1 0.0000 0.3372 0.2402
Pt1 0.0000 0.0000 0.5000
Rh1 0.3333 0.6667 0.0000
```